# 1
VASP calculation (GGA-PBE) on TmMg14Pb after structural relaxation.

Unit cell a=6.4221 b=6.4221 c=9.3476 alpha=90.00 beta=90.00 gamma=90.00
Space group P4/mmm (No. 123)
One atom of each set of equivalent atoms:
Tm: 0.0000 0.0000 0.0000 x1
Mg: 0.0000 0.0000 0.5000 x1
Mg: 0.0000 0.5000 0.0000 x2
Mg: 0.0000 0.5000 0.5000 x2
Mg: 0.2480 0.2480 0.2577 x8
Mg: 0.5000 0.5000 0.5000 x1
Pb: 0.5000 0.5000 0.0000 x1

Calculated values
The total energy comes out at -1.901 eV/atom. Its crystal system is tetragonal. Its total magnetization is 0.00 μB per cell. For the formation enthalpy at 0 K, the calculation gives 0.005 eV/atom.

=====

# 2
VASP calculation (GGA-PBE) on Cs3Sr5H12 after structural relaxation.

Unit cell a=15.8395 b=15.8395 c=15.8395 alpha=90.00 beta=90.00 gamma=90.00
Space group Ia-3d (No. 230)
One atom of each set of equivalent atoms:
Cs: 0.0000 0.2500 0.1250 x24
Sr: 0.0000 0.0000 0.0000 x16
Sr: 0.0000 0.2500 0.3750 x24
H: 0.0342 0.0487 0.6435 x96

Calculated values
The total energy comes out at -2.844 eV/atom. Its crystal system is cubic. Its total magnetization is 7.73 μB per cell.

=====

# 3
VASP calculation (GGA-PBE) on K4Y5 after structural relaxation.

Unit cell a=11.1721 b=11.1721 c=6.9926 alpha=90.00 beta=90.00 gamma=120.00
Space group P6_3/mcm (No. 193)
One atom of each set of equivalent atoms:
K: 0.0000 0.0000 0.0000 x2
K: 0.0000 0.2808 0.2500 x6
Y: 0.0000 0.4175 0.7500 x6
Y: 0.3333 0.6667 0.0000 x4

Calculated values
The total energy comes out at -3.490 eV/atom. Its crystal system is hexagonal. Its total magnetization is 3.96 μB per cell. For the formation enthalpy at 0 K, the calculation gives 0.589 eV/atom.

=====

# 4
VASP calculation (GGA-PBE) on Cs3FeCl after structural relaxation.

Unit cell a=6.7224 b=6.7224 c=6.7224 alpha=90.00 beta=90.00 gamma=90.00
Space group Pm-3m (No. 221)
One atom of each set of equivalent atoms:
Cs: 0.0000 0.0000 0.5000 x3
Fe: 0.5000 0.5000 0.5000 x1
Cl: 0.0000 0.0000 0.0000 x1

Calculated values
Its offset from the most stable computed form is 0 meV per atom. The total energy comes out at -2.611 eV/atom. Its crystal system is cubic. Its total magnetization is 3.21 μB per cell. As for the raw formation energy: -0.037 eV/atom.

=====

# 5
VASP calculation (GGA-PBE) on CsI2Br2 after structural relaxation.

Unit cell a=9.7913 b=9.7913 c=4.5764 alpha=90.00 beta=90.00 gamma=90.00
Space group P4/mbm (No. 127)
One atom of each set of equivalent atoms:
Cs: 0.0000 0.0000 0.0000 x2
I: 0.2375 0.2625 0.5000 x4
Br: 0.0875 0.5875 0.0000 x4

Calculated values
Its offset from the most stable computed form is 110 meV per atom. The total energy comes out at -1.898 eV/atom. Its crystal system is tetragonal. Its total magnetization is 0.00 μB per cell. As for the raw formation energy: -0.438 eV/atom.

=====

# 6
VASP calculation (GGA-PBE) on Cs4Zn2H after structural relaxation.

Unit cell a=6.9073 b=6.9073 c=16.4417 alpha=90.00 beta=90.00 gamma=90.00
Space group I4/mmm (No. 139)
One atom of each set of equivalent atoms:
Cs: 0.0000 0.0000 0.1851 x4
Cs: 0.0000 0.5000 0.0000 x4
Zn: 0.0000 0.0000 0.4199 x4
H: 0.0000 0.0000 0.0000 x2

Calculated values
The total energy comes out at -1.234 eV/atom. Its crystal system is tetragonal. Its total magnetization is 0.00 μB per cell.

=====

# 7
VASP calculation (GGA-PBE) on LiH2Pd3 after structural relaxation.

Unit cell a=5.6010 b=8.1798 c=2.8401 alpha=90.00 beta=90.00 gamma=90.00
Space group Cmmm (No. 65)
One atom of each set of equivalent atoms:
Li: 0.0000 0.0000 0.0000 x2
H: 0.0000 0.2709 0.0000 x4
Pd: 0.0000 0.5000 0.0000 x2
Pd: 0.2500 0.2500 0.5000 x4

Calculated values
Its offset from the most stable computed form is 0 meV per atom. The total energy comes out at -4.318 eV/atom. Its crystal system is orthorhombic. Its total magnetization is 0.00 μB per cell.

=====

# 8
VASP calculation (GGA-PBE) on Y2AgRhC after structural relaxation.

Unit cell a=5.0203 b=5.0203 c=3.9040 alpha=90.00 beta=90.00 gamma=90.00
Space group P4/mmm (No. 123)
One atom of each set of equivalent atoms:
Y: 0.0000 0.5000 0.0000 x2
Ag: 0.0000 0.0000 0.5000 x1
Rh: 0.5000 0.5000 0.5000 x1
C: 0.5000 0.5000 0.0000 x1

Calculated values
The total energy comes out at -6.933 eV/atom. Its crystal system is tetragonal. Its total magnetization is 0.00 μB per cell. For the formation enthalpy at 0 K, the calculation gives -0.462 eV/atom.

=====

Q: What is the formula in the fourth record?
A: Cs3FeCl